Crystalline LiPmY at its relaxed geometry. Source: Alexandria, functional GGA-PBE.

Lattice parameters (Å, degrees): 3.7234 3.7234 6.7512 106.01 106.01 90.00
Element x y z (fractional)
Pm 0.3200 0.3200 0.6400
Y 0.0157 0.0157 0.0314
Li 0.6643 0.6643 0.3286

The calculation puts the formation energy at 0.23 eV per formula unit. The value obtained for the energy above the most stable polymorph in this dataset is 13 meV/atom.

=====

Crystalline Mg2IO at its relaxed geometry. Source: Alexandria, functional GGA-PBE.

Lattice parameters (Å, degrees): 5.9196 5.9196 6.6630 63.63 63.63 90.00
Element x y z (fractional)
Mg 0.3750 0.5314 0.7500
Mg 0.8750 0.7186 0.7500
Mg 0.4686 0.1250 0.2500
Mg 0.2814 0.6250 0.2500
O 0.2500 0.7500 0.5000
O 0.5000 0.5000 0.0000
I 0.0000 0.0000 0.0000
I 0.7500 0.2500 0.5000

The value obtained for the raw formation energy is -126.6 kJ per mole of atoms. The value obtained for the energy above the most stable polymorph in this dataset is 0 meV/atom.

=====

Crystalline SmPaZn at its relaxed geometry. Source: Alexandria, functional GGA-PBE.

Lattice parameters (Å, degrees): 3.9429 3.9429 10.6599 90.00 90.00 90.00
Element x y z (fractional)
Pa 0.5000 0.5000 0.5000
Pa 0.0000 0.0000 0.5000
Zn 0.0000 0.0000 0.0000
Zn 0.5000 0.5000 0.0000
Sm 0.0000 0.5000 0.2242
Sm 0.5000 0.0000 0.7758

The calculation puts the formation energy at 1.29 eV per formula unit. The value obtained for the energy above the most stable polymorph in this dataset is 369 meV/atom.

=====

Crystalline Dy2Cd5Hg12 at its relaxed geometry. Source: Alexandria, functional GGA-PBE.

Lattice parameters (Å, degrees): 5.3753 10.2356 10.2356 61.62 75.84 75.84
Element x y z (fractional)
Cd 0.8037 0.2991 0.2991
Cd 0.5000 0.0000 0.0000
Cd 0.1963 0.7009 0.7009
Cd 0.3869 0.2013 0.2013
Cd 0.6131 0.7987 0.7987
Hg 0.1950 0.0890 0.5306
Hg 0.6079 0.1519 0.6450
Hg 0.3921 0.8481 0.3550
Hg 0.3921 0.3550 0.8481
Hg 0.8050 0.4694 0.9110
Hg 0.6079 0.6450 0.1519
Hg 0.7136 0.5539 0.5539
Hg 0.2864 0.4461 0.4461
Hg 0.0559 0.8882 0.8882
Hg 0.8050 0.9110 0.4694
Hg 0.1950 0.5306 0.0890
Hg 0.9441 0.1118 0.1118
Dy 0.0000 0.7651 0.2349
Dy 0.0000 0.2349 0.7651

The calculation puts the formation energy at -1.98 eV per formula unit. The value obtained for the energy above the most stable polymorph in this dataset is 0 meV/atom.

=====

Crystalline NaPm2Pt9 at its relaxed geometry. Source: Alexandria, functional GGA-PBE.

Lattice parameters (Å, degrees): 5.4687 5.4687 9.3611 73.02 73.02 60.00
Element x y z (fractional)
Pm 0.8635 0.8635 0.4096
Pm 0.1365 0.1365 0.5904
Pt 0.4135 0.4135 0.2532
Pt 0.3322 0.3322 0.0035
Pt 0.0801 0.5865 0.7468
Pt 0.9199 0.4135 0.2532
Pt 0.4135 0.9199 0.2532
Pt 0.5865 0.0801 0.7468
Pt 0.6678 0.6678 0.9965
Pt 0.5000 0.5000 0.5000
Pt 0.5865 0.5865 0.7468
Na 0.0000 0.0000 0.0000

The calculation puts the formation energy at -8.35 eV per formula unit.

=====

Crystalline CuRuC2Se at its relaxed geometry. Source: Alexandria, functional GGA-PBE.

Lattice parameters (Å, degrees): 3.8395 5.2531 3.8395 90.00 90.00 90.00
Element x y z (fractional)
Cu 0.0000 0.5000 0.0000
C 0.0000 0.0000 0.5000
C 0.5000 0.0000 0.0000
Se 0.5000 0.5000 0.5000
Ru 0.0000 0.0000 0.0000

The value obtained for the raw formation energy is 135.7 kJ per mole of atoms.

=====

Crystalline Sr2AlW at its relaxed geometry. Source: Alexandria, functional GGA-PBE.

Lattice parameters (Å, degrees): 5.0195 4.4812 4.4812 90.00 90.00 90.00
Element x y z (fractional)
Sr 0.0000 0.0000 0.0000
Sr 0.0000 0.5000 0.5000
Al 0.5000 0.0000 0.5000
W 0.5000 0.5000 0.0000

The calculation puts the formation energy at 3.83 eV per formula unit.

=====

Crystalline Th2Si3Ni12Pd at its relaxed geometry. Source: Alexandria, functional GGA-PBE.

Lattice parameters (Å, degrees): 6.3472 6.3472 6.3472 84.67 84.67 84.67
Element x y z (fractional)
Ni 0.1914 0.1914 0.6915
Ni 0.3833 0.9003 0.3833
Ni 0.6167 0.6167 0.0997
Ni 0.1914 0.6915 0.1914
Ni 0.0997 0.6167 0.6167
Ni 0.9003 0.3833 0.3833
Ni 0.8086 0.8086 0.3085
Ni 0.3833 0.3833 0.9003
Ni 0.8086 0.3085 0.8086
Ni 0.3085 0.8086 0.8086
Ni 0.6915 0.1914 0.1914
Ni 0.6167 0.0997 0.6167
Pd 0.0000 0.0000 0.0000
Th 0.6604 0.6604 0.6604
Th 0.3396 0.3396 0.3396
Si 0.5000 0.0000 0.0000
Si 0.0000 0.5000 0.0000
Si 0.0000 0.0000 0.5000

The value obtained for the raw formation energy is -12.9 kJ per mole of atoms.

=====

Crystalline LaBiPdRh at its relaxed geometry. Source: Alexandria, functional GGA-PBE.

Lattice parameters (Å, degrees): 4.9929 4.9929 4.9929 60.00 60.00 60.00
Element x y z (fractional)
Bi 0.7500 0.7500 0.7500
Rh 0.5000 0.5000 0.5000
La 0.2500 0.2500 0.2500
Pd 0.0000 0.0000 0.0000

The calculation puts the formation energy at -2.27 eV per formula unit. The value obtained for the energy above the most stable polymorph in this dataset is 0 meV/atom.

=====

Crystalline Rb2HO at its relaxed geometry. Source: Alexandria, functional GGA-PBE.

Lattice parameters (Å, degrees): 6.5276 6.5276 7.8881 65.56 65.56 90.00
Each line ends with the local moment (μB).
Element x y z (fractional)
Rb 0.8750 0.8950 0.7500  0.01
Rb 0.3750 0.3550 0.7500  0.01
Rb 0.6450 0.1250 0.2500  0.01
Rb 0.1050 0.6250 0.2500  0.01
O 0.7500 0.2500 0.5000  0.61
O 0.0000 0.0000 0.0000  0.61
H 0.2500 0.7500 0.5000  0.07
H 0.5000 0.5000 0.0000  0.07

The value obtained for the energy above the most stable polymorph in this dataset is 55 meV/atom.

=====

Crystalline TaNbOs at its relaxed geometry. Source: Alexandria, functional GGA-PBE.

Lattice parameters (Å, degrees): 6.2029 6.2029 7.6657 114.78 114.78 89.01
Element x y z (fractional)
Ta 0.4118 0.3366 0.7508
Ta 0.6616 0.0869 0.2508
Ta 0.9131 0.3384 0.7492
Ta 0.6634 0.5882 0.2492
Os 0.7846 0.7096 0.0004
Os 0.0345 0.4596 0.5004
Os 0.2904 0.2155 0.9996
Os 0.5404 0.9655 0.4996
Nb 0.4119 0.8366 0.7464
Nb 0.9130 0.8385 0.7536
Nb 0.1615 0.0870 0.2464
Nb 0.1634 0.5881 0.2536

The calculation puts the formation energy at 0.43 eV per formula unit. The value obtained for the energy above the most stable polymorph in this dataset is 464 meV/atom.

=====

Crystalline NaCu4Te3O12 at its relaxed geometry. Source: Alexandria, functional GGA-PBE.

Lattice parameters (Å, degrees): 6.9424 6.9424 6.9424 107.53 107.53 107.53
Each line ends with the local moment (μB).
Element x y z (fractional)
Te 0.5701 0.4299 0.0000  0.00
Te 0.0000 0.5701 0.4299  0.00
Te 0.4299 0.0000 0.5701  0.00
O 0.5000 0.3269 0.6731  0.01
O 0.7237 0.0088 0.6443  0.02
O 0.9912 0.2763 0.3557  0.02
O 0.8998 0.5000 0.1002  0.01
O 0.6731 0.5000 0.3269  0.01
O 0.6443 0.7237 0.0088  0.02
O 0.1002 0.8998 0.5000  0.01
O 0.2763 0.3557 0.9912  0.02
O 0.0088 0.6443 0.7237  0.02
O 0.3557 0.9912 0.2763  0.02
O 0.5000 0.1002 0.8998  0.01
O 0.3269 0.6731 0.5000  0.01
Cu 0.8756 0.1244 0.5000  0.17
Cu 0.5000 0.5000 0.5000  0.18
Cu 0.5000 0.8756 0.1244  0.17
Cu 0.1244 0.5000 0.8756  0.17
Na 0.0000 0.0000 0.0000  0.00

The value obtained for the raw formation energy is -78.5 kJ per mole of atoms.

=====

Crystalline TlCd5Hg6 at its relaxed geometry. Source: Alexandria, functional GGA-PBE.

Lattice parameters (Å, degrees): 9.0559 6.3034 6.4809 60.90 82.87 75.21
Element x y z (fractional)
Hg 0.2654 0.9093 0.6453
Hg 0.2369 0.2915 0.0000
Hg 0.7346 0.0907 0.3547
Hg 0.7346 0.4453 0.6453
Hg 0.2654 0.5547 0.3547
Hg 0.7631 0.7085 0.0000
Cd 0.0000 0.3190 0.3620
Cd 0.5000 0.5000 0.0000
Cd 0.5000 0.8578 0.2844
Cd 0.0000 0.6810 0.6380
Cd 0.5000 0.1422 0.7156
Tl 0.0000 0.0000 0.0000

The calculation puts the formation energy at 0.15 eV per formula unit. The value obtained for the energy above the most stable polymorph in this dataset is 0 meV/atom.

=====

Crystalline NbTcSbRu2 at its relaxed geometry. Source: Alexandria, functional GGA-PBE.

Lattice parameters (Å, degrees): 4.7137 5.0393 4.7137 90.00 90.00 90.00
Each line ends with the local moment (μB).
Element x y z (fractional)
Ru 0.5000 0.0000 0.0000  -0.20
Ru 0.0000 0.0000 0.5000  -0.26
Nb 0.0000 0.5000 0.0000  -1.04
Tc 0.5000 0.5000 0.5000  2.82
Sb 0.0000 0.0000 0.0000  0.01

The value obtained for the raw formation energy is 181.8 kJ per mole of atoms.

=====

Crystalline Co5Ru at its relaxed geometry. Source: Alexandria, functional GGA-PBE.

Lattice parameters (Å, degrees): 4.8154 4.8154 9.6921 140.51 140.51 30.78
Each line ends with the local moment (μB).
Element x y z (fractional)
Co 0.9949 0.9949 0.9965  1.48
Co 0.6747 0.6747 0.3381  1.63
Co 0.3281 0.3281 0.6607  1.71
Co 0.4490 0.4490 0.3968  1.60
Co 0.1093 0.1093 0.7171  1.64
Ru 0.7773 0.7773 0.0574  0.30

The calculation puts the formation energy at 0.50 eV per formula unit. The value obtained for the energy above the most stable polymorph in this dataset is 1 meV/atom.

=====

Crystalline LaTmGaCu at its relaxed geometry. Source: Alexandria, functional GGA-PBE.

Lattice parameters (Å, degrees): 5.1170 5.1170 5.1170 60.00 60.00 60.00
Element x y z (fractional)
La 0.5000 0.5000 0.5000
Tm 0.0000 0.0000 0.0000
Cu 0.2500 0.2500 0.2500
Ga 0.7500 0.7500 0.7500

The calculation puts the formation energy at -1.46 eV per formula unit.

=====

Crystalline Mg2TeOs at its relaxed geometry. Source: Alexandria, functional GGA-PBE.

Lattice parameters (Å, degrees): 4.9960 4.9960 3.1954 90.01 90.01 110.28
Each line ends with the local moment (μB).
Element x y z (fractional)
Mg 0.5000 0.5000 0.0000  0.00
Mg 0.0000 0.0000 0.0000  0.00
Os 0.5000 0.0000 0.5000  0.19
Te 0.0000 0.5000 0.5000  -0.01

The value obtained for the raw formation energy is 21.8 kJ per mole of atoms.

=====

Crystalline ZrAsRuCl2 at its relaxed geometry. Source: Alexandria, functional GGA-PBE.

Lattice parameters (Å, degrees): 4.5909 5.0128 4.5909 90.00 90.00 90.00
Element x y z (fractional)
Zr 0.5000 0.5000 0.5000
Ru 0.0000 0.0000 0.0000
As 0.0000 0.5000 0.0000
Cl 0.0000 0.0000 0.5000
Cl 0.5000 0.0000 0.0000

The value obtained for the raw formation energy is 26.4 kJ per mole of atoms.

=====

Crystalline Ba2NaGa at its relaxed geometry. Source: Alexandria, functional GGA-PBE.

Lattice parameters (Å, degrees): 4.0924 4.0924 13.7918 81.47 81.47 60.00
Element x y z (fractional)
Ba 0.9171 0.9171 0.2487
Ba 0.0829 0.0829 0.7513
Ga 0.0000 0.0000 0.0000
Na 0.5000 0.5000 0.5000

The calculation puts the formation energy at 1.31 eV per formula unit.

=====

Crystalline NdGdGe at its relaxed geometry. Source: Alexandria, functional GGA-PBE.

Lattice parameters (Å, degrees): 5.0033 5.0033 5.0033 60.00 60.00 60.00
Each line ends with the local moment (μB).
Element x y z (fractional)
Nd 0.0000 0.0000 0.0000  0.18
Ge 0.2500 0.2500 0.2500  -0.05
Gd 0.5000 0.5000 0.5000  7.25

The calculation puts the formation energy at -1.62 eV per formula unit.

=====

Crystalline Ni3GeIr at its relaxed geometry. Source: Alexandria, functional GGA-PBE.

Lattice parameters (Å, degrees): 5.4840 5.4840 5.4840 68.42 68.42 68.42
Element x y z (fractional)
Ni 0.3702 0.5975 0.8558
Ni 0.3558 0.0975 0.8702
Ni 0.8558 0.3702 0.5975
Ni 0.0975 0.8702 0.3558
Ni 0.5975 0.8558 0.3702
Ni 0.8702 0.3558 0.0975
Ge 0.7529 0.7529 0.7529
Ge 0.2529 0.2529 0.2529
Ir 0.4419 0.4419 0.4419
Ir 0.9419 0.9419 0.9419

The calculation puts the formation energy at 0.72 eV per formula unit. The value obtained for the energy above the most stable polymorph in this dataset is 0 meV/atom.

=====

Crystalline RbHAu3 at its relaxed geometry. Source: Alexandria, functional GGA-PBE.

Lattice parameters (Å, degrees): 4.6079 4.6079 4.6079 90.00 90.00 90.00
Element x y z (fractional)
Au 0.0000 0.5000 0.0000
Au 0.0000 0.0000 0.5000
Au 0.5000 0.0000 0.0000
Rb 0.5000 0.5000 0.5000
H 0.0000 0.0000 0.0000

The value obtained for the energy above the most stable polymorph in this dataset is 0 meV/atom.

=====

Crystalline CuNi2Hg at its relaxed geometry. Source: Alexandria, functional GGA-PBE.

Lattice parameters (Å, degrees): 4.6120 4.6120 4.6120 131.36 131.34 71.25
Element x y z (fractional)
Ni 0.0000 0.0000 0.0000
Ni 0.7499 0.2499 0.5000
Hg 0.2500 0.7500 0.5000
Cu 0.5000 0.5000 0.0000

The calculation puts the formation energy at 0.73 eV per formula unit.

=====

Crystalline LaP3Pd3 at its relaxed geometry. Source: Alexandria, functional GGA-PBE.

Lattice parameters (Å, degrees): 6.5639 6.5639 6.5639 90.00 90.00 90.00
Element x y z (fractional)
P 0.7500 0.5000 0.0000
P 0.2500 0.5000 0.0000
P 0.5000 0.0000 0.7500
P 0.5000 0.0000 0.2500
P 0.0000 0.2500 0.5000
P 0.0000 0.7500 0.5000
Pd 0.7500 0.0000 0.5000
Pd 0.5000 0.2500 0.0000
Pd 0.2500 0.0000 0.5000
Pd 0.5000 0.7500 0.0000
Pd 0.0000 0.5000 0.2500
Pd 0.0000 0.5000 0.7500
La 0.5000 0.5000 0.5000
La 0.0000 0.0000 0.0000

The calculation puts the formation energy at -4.16 eV per formula unit.

=====

Crystalline Th2NbFe at its relaxed geometry. Source: Alexandria, functional GGA-PBE.

Lattice parameters (Å, degrees): 3.5244 3.5244 9.5265 79.34 79.34 60.00
Each line ends with the local moment (μB).
Element x y z (fractional)
Fe 0.5000 0.5000 0.5000  0.05
Nb 0.0000 0.0000 0.0000  0.14
Th 0.8958 0.8958 0.3127  0.01
Th 0.1042 0.1042 0.6873  0.01

The calculation puts the formation energy at 2.98 eV per formula unit.